Entry 1:
Entry from Alexandria via LeMat-Bulk: a geometry-optimized MgAgRh structure (GGA-PBE).

Unit cell a=3.901 b=4.902 c=5.945 alpha=106.74 beta=90.00 gamma=113.45
Fractional coordinates of all 6 atoms:
Rh1 0.661 0.323 0.064
Rh2 0.339 0.677 0.936
Ag1 0.668 0.337 0.589
Ag2 0.332 0.663 0.411
Mg1 0.998 0.997 0.236
Mg2 0.002 0.003 0.764

Values from the calculation:
- DOS(E_F) (states/eV per atom) = 0.7255
- formation energy from the elements (meV/atom) = -145
- SG = C2/m
- volume (Å³ per atom) = 16.51
- offset from the most stable computed form (meV/atom) = 69

Entry 2:
Entry from Alexandria via LeMat-Bulk: a geometry-optimized Pr3Sm3Dy4 structure (GGA-PBE).

Unit cell a=3.709 b=9.619 c=9.619 alpha=90.12 beta=90.00 gamma=90.00
Fractional coordinates of all 10 atoms:
Pr1 0.500 0.826 0.174
Pr2 0.500 0.674 0.675
Pr3 0.500 0.325 0.326
Sm1 0.500 0.175 0.825
Sm2 0.000 0.498 0.999
Sm3 0.000 0.001 0.502
Dy1 0.000 0.375 0.625
Dy2 0.000 0.624 0.376
Dy3 0.000 0.878 0.875
Dy4 0.000 0.125 0.122

Values from the calculation:
- DOS(E_F) (states/eV per atom) = 0.9408
- formation energy from the elements (meV/atom) = 97
- SG = Amm2
- volume (Å³ per atom) = 34.32

Entry 3:
Entry from Alexandria via LeMat-Bulk: a geometry-optimized NbFeNi14 structure (GGA-PBE).

Unit cell a=5.062 b=5.062 c=7.096 alpha=90.00 beta=90.00 gamma=90.00
Fractional coordinates of all 16 atoms:
Ni1 0.129 0.621 0.245
Ni2 0.129 0.621 0.755
Ni3 0.375 0.875 0.000
Ni4 0.621 0.129 0.245
Ni5 0.375 0.875 0.500
Ni6 0.129 0.129 0.755
Ni7 0.621 0.621 0.245
Ni8 0.875 0.875 0.000
Ni9 0.621 0.129 0.755
Ni10 0.875 0.375 0.000
Ni11 0.129 0.129 0.245
Ni12 0.621 0.621 0.755
Ni13 0.875 0.375 0.500
Ni14 0.375 0.375 0.000
Fe1 0.375 0.375 0.500
Nb1 0.875 0.875 0.500

Values from the calculation:
- DOS(E_F) (states/eV per atom) = 1.6492
- formation energy from the elements (meV/atom) = -59
- SG = P4/mmm
- volume (Å³ per atom) = 11.36

Entry 4:
Entry from Alexandria via LeMat-Bulk: a geometry-optimized Sr3Ga2SbAu9 structure (GGA-PBE).

Unit cell a=7.787 b=7.787 c=7.482 alpha=90.00 beta=90.00 gamma=120.00
Fractional coordinates of all 15 atoms:
Sr1 0.333 0.667 0.662
Sr2 0.667 0.333 0.338
Sr3 0.000 0.000 0.000
Ga1 0.667 0.333 0.852
Ga2 0.333 0.667 0.148
Sb1 0.000 0.000 0.500
Au1 0.345 0.173 0.684
Au2 0.500 0.000 0.000
Au3 0.500 0.500 0.000
Au4 0.000 0.500 0.000
Au5 0.827 0.655 0.684
Au6 0.173 0.827 0.316
Au7 0.173 0.345 0.316
Au8 0.655 0.827 0.316
Au9 0.827 0.173 0.684

Values from the calculation:
- DOS(E_F) (states/eV per atom) = 0.3743
- SG = P-3m1
- volume (Å³ per atom) = 26.20
- formation energy from raw total energies (eV per atom) = -0.385

Entry 5:
Entry from Alexandria via LeMat-Bulk: a geometry-optimized Mg2TiFeN structure (GGA-PBE).

Unit cell a=4.844 b=4.122 c=4.844 alpha=90.00 beta=90.00 gamma=90.00
Fractional coordinates of all 5 atoms:
N1 0.500 0.500 0.500
Mg1 0.500 0.000 0.000
Mg2 0.000 0.000 0.500
Fe1 0.000 0.000 0.000
Ti1 0.000 0.500 0.000

Values from the calculation:
- DOS(E_F) (states/eV per atom) = 0.6643
- SG = P4/mmm
- volume (Å³ per atom) = 19.35
- formation energy from raw total energies (eV per atom) = 1.199

Entry 6:
Entry from Alexandria via LeMat-Bulk: a geometry-optimized TbYSc2Tl4 structure (GGA-PBE).

Unit cell a=5.243 b=5.243 c=9.094 alpha=73.24 beta=73.24 gamma=60.00
Fractional coordinates of all 8 atoms:
Tb1 0.000 0.000 0.000
Tl1 0.375 0.375 0.875
Tl2 0.625 0.625 0.125
Tl3 0.125 0.125 0.625
Tl4 0.875 0.875 0.375
Sc1 0.750 0.750 0.750
Sc2 0.250 0.250 0.250
Y1 0.500 0.500 0.500

Values from the calculation:
- DOS(E_F) (states/eV per atom) = 0.8404
- formation energy from the elements (meV/atom) = -301
- SG = R-3m
- volume (Å³ per atom) = 25.52